Entry A
First-principles (PBE-GGA) data for CuNiSb2 after structural relaxation, as listed in the Alexandria database.

Cell lengths 3.222, 3.225, 7.529 Å; angles 90.00, 90.00, 90.00 degrees
Element x y z (fractional)
1 Sb 0.000 0.000 0.905
2 Sb 0.500 0.500 0.337
3 Cu 0.000 0.000 0.547
4 Ni 0.500 0.500 0.711

Output
Total moment, μB per formula unit: 0.0
Mass density, g cm⁻³: 7.8


Entry B
First-principles (PBE-GGA) data for CuNiSb2 after structural relaxation, as listed in the Alexandria database.

Cell lengths 4.705, 4.705, 4.705 Å; angles 60.00, 60.00, 60.00 degrees
Element x y z (fractional)
1 Ni 0.000 0.000 0.000
2 Cu 0.500 0.500 0.500
3 Sb 0.250 0.250 0.250
4 Sb 0.750 0.750 0.750

Output
Total moment, μB per formula unit: 0.0
Mass density, g cm⁻³: 8.2


Entry C
First-principles (PBE-GGA) data for CuNiSb2 after structural relaxation, as listed in the Alexandria database.

Cell lengths 4.010, 3.752, 5.168 Å; angles 68.86, 90.00, 90.00 degrees
Element x y z (fractional)
1 Cu 0.000 0.711 0.465
2 Sb 0.000 0.983 0.904
3 Sb 0.500 0.267 0.347
4 Ni 0.500 0.539 0.783

Output
Total moment, μB per formula unit: 0.0
Mass density, g cm⁻³: 8.4


Stability verdict: entry C, ahead by 24 meV per atom


Entry A
First-principles (PBE-GGA) data for CuNiSb2 after structural relaxation, as listed in the Alexandria database.

Cell lengths 6.344, 6.344, 6.427 Å; angles 60.42, 60.42, 90.00 degrees
Element x y z (fractional)
1 Ni 0.250 0.750 0.500
2 Ni 0.500 0.500 0.000
3 Sb 0.375 0.389 0.750
4 Sb 0.611 0.125 0.250
5 Sb 0.139 0.625 0.250
6 Sb 0.875 0.861 0.750
7 Cu 0.750 0.250 0.500
8 Cu 0.000 0.000 0.000

Output
Total moment, μB per formula unit: 0.0
Mass density, g cm⁻³: 6.6


Entry B
First-principles (PBE-GGA) data for CuNiSb2 after structural relaxation, as listed in the Alexandria database.

Cell lengths 3.431, 5.997, 5.372 Å; angles 42.63, 90.00, 90.00 degrees
Element x y z (fractional)
1 Sb 0.000 0.000 0.000
2 Sb 0.500 0.500 0.000
3 Cu 0.500 0.500 0.500
4 Ni 0.000 0.000 0.500

Output
Total moment, μB per formula unit: 0.0
Mass density, g cm⁻³: 8.1


Entry C
First-principles (PBE-GGA) data for CuNiSb2 after structural relaxation, as listed in the Alexandria database.

Cell lengths 5.662, 5.662, 5.662 Å; angles 139.94, 139.94, 57.94 degrees
Element x y z (fractional)
1 Ni 0.750 0.250 0.500
2 Sb 0.250 0.750 0.500
3 Sb 0.000 0.000 0.000
4 Cu 0.500 0.500 0.000

Output
Total moment, μB per formula unit: 0.0
Mass density, g cm⁻³: 8.2


Stability verdict: entry B, ahead by 140 meV per atom


Entry A
First-principles (PBE-GGA) data for CuNi4Sb after structural relaxation, as listed in the Alexandria database.

Cell lengths 3.655, 4.472, 5.839 Å; angles 104.01, 71.76, 65.88 degrees
Element x y z (fractional)
1 Ni 0.344 0.990 0.321
2 Ni 0.826 0.503 0.844
3 Ni 0.174 0.497 0.156
4 Ni 0.656 0.010 0.679
5 Sb 0.500 0.500 0.500
6 Cu 0.000 0.000 0.000

Output
Total moment, μB per formula unit: 0.0
Mass density, g cm⁻³: 9.3


Entry B
First-principles (PBE-GGA) data for CuNi4Sb after structural relaxation, as listed in the Alexandria database.

Cell lengths 4.791, 4.791, 4.791 Å; angles 60.00, 60.00, 60.00 degrees
Element x y z (fractional)
1 Ni 0.876 0.375 0.375
2 Ni 0.375 0.375 0.876
3 Ni 0.375 0.876 0.375
4 Ni 0.375 0.375 0.375
5 Cu 0.000 0.000 0.000
6 Sb 0.750 0.750 0.750

Output
Total moment, μB per formula unit: 0.0
Mass density, g cm⁻³: 9.0


Stability verdict: entry A, ahead by 127 meV per atom


Entry A
First-principles (PBE-GGA) data for Cu2Ni2Sb after structural relaxation, as listed in the Alexandria database.

Cell lengths 3.451, 3.451, 6.527 Å; angles 74.67, 74.67, 90.00 degrees
Element x y z (fractional)
1 Sb 0.000 0.000 0.000
2 Cu 0.250 0.750 0.500
3 Cu 0.750 0.250 0.500
4 Ni 0.397 0.397 0.205
5 Ni 0.603 0.603 0.795

Output
Total moment, μB per formula unit: 0.0
Mass density, g cm⁻³: 8.4


Entry B
First-principles (PBE-GGA) data for Cu2Ni2Sb after structural relaxation, as listed in the Alexandria database.

Cell lengths 6.862, 6.862, 2.926 Å; angles 90.00, 90.00, 90.00 degrees
Element x y z (fractional)
1 Sb 0.500 0.500 0.000
2 Sb 0.000 0.000 0.000
3 Ni 0.336 0.164 0.500
4 Ni 0.836 0.336 0.500
5 Ni 0.164 0.664 0.500
6 Ni 0.664 0.836 0.500
7 Cu 0.372 0.872 0.000
8 Cu 0.628 0.128 0.000
9 Cu 0.128 0.372 0.000
10 Cu 0.872 0.628 0.000

Output
Total moment, μB per formula unit: 0.0
Mass density, g cm⁻³: 8.8


Stability verdict: entry B, ahead by 23 meV per atom


Entry A
First-principles (PBE-GGA) data for CuNiSbTe2 after structural relaxation, as listed in the Alexandria database.

Cell lengths 5.161, 5.161, 4.908 Å; angles 90.00, 90.00, 90.00 degrees
Each line ends with the local moment (μB).
Element x y z (fractional)
1 Te 0.000 0.500 0.000  0.04
2 Te 0.500 0.000 0.000  0.04
3 Ni 0.500 0.500 0.500  0.66
4 Cu 0.000 0.000 0.000  0.00
5 Sb 0.000 0.000 0.500  -0.01

Output
Total moment, μB per formula unit: 0.7
Mass density, g cm⁻³: 6.3


Entry B
First-principles (PBE-GGA) data for CuNiSbTe2 after structural relaxation, as listed in the Alexandria database.

Cell lengths 5.163, 5.163, 4.787 Å; angles 90.00, 90.00, 90.00 degrees
Element x y z (fractional)
1 Ni 0.000 0.000 0.000
2 Sb 0.000 0.000 0.500
3 Te 0.000 0.500 0.000
4 Te 0.500 0.000 0.000
5 Cu 0.500 0.500 0.500

Output
Total moment, μB per formula unit: 0.0
Mass density, g cm⁻³: 6.5


Entry C
First-principles (PBE-GGA) data for CuNiSbTe2 after structural relaxation, as listed in the Alexandria database.

Cell lengths 5.147, 4.485, 5.147 Å; angles 90.00, 90.00, 90.00 degrees
Each line ends with the local moment (μB).
Element x y z (fractional)
1 Sb 0.500 0.500 0.500  0.00
2 Te 0.000 0.000 0.500  0.00
3 Te 0.500 0.000 0.000  0.00
4 Cu 0.000 0.000 0.000  0.00
5 Ni 0.000 0.500 0.000  0.07

Output
Total moment, μB per formula unit: 0.1
Mass density, g cm⁻³: 7.0


Stability verdict: entry B, ahead by 13 meV per atom


Entry A
First-principles (PBE-GGA) data for CuNiSb2Te after structural relaxation, as listed in the Alexandria database.

Cell lengths 4.998, 4.998, 5.120 Å; angles 90.00, 90.00, 90.00 degrees
Each line ends with the local moment (μB).
Element x y z (fractional)
1 Te 0.000 0.000 0.500  0.01
2 Sb 0.000 0.500 0.000  -0.01
3 Sb 0.500 0.000 0.000  -0.01
4 Ni 0.500 0.500 0.500  0.28
5 Cu 0.000 0.000 0.000  0.00

Output
Total moment, μB per formula unit: 0.2
Mass density, g cm⁻³: 6.4


Entry B
First-principles (PBE-GGA) data for CuNiSb2Te after structural relaxation, as listed in the Alexandria database.

Cell lengths 4.906, 4.906, 5.194 Å; angles 90.00, 90.00, 90.00 degrees
Element x y z (fractional)
1 Cu 0.500 0.500 0.500
2 Te 0.000 0.000 0.500
3 Sb 0.500 0.000 0.000
4 Sb 0.000 0.500 0.000
5 Ni 0.000 0.000 0.000

Output
Total moment, μB per formula unit: 0.0
Mass density, g cm⁻³: 6.6


Stability verdict: entry B, ahead by 298 meV per atom


Entry A
First-principles (PBE-GGA) data for ScCu2Ni2 after structural relaxation, as listed in the Alexandria database.

Cell lengths 6.872, 6.872, 2.821 Å; angles 90.00, 90.00, 90.00 degrees
Element x y z (fractional)
1 Cu 0.873 0.627 0.000
2 Cu 0.373 0.873 0.000
3 Cu 0.127 0.373 0.000
4 Cu 0.627 0.127 0.000
5 Ni 0.668 0.832 0.500
6 Ni 0.832 0.332 0.500
7 Ni 0.332 0.168 0.500
8 Ni 0.168 0.668 0.500
9 Sc 0.500 0.500 0.000
10 Sc 0.000 0.000 0.000

Output
Total moment, μB per formula unit: 0.0
Mass density, g cm⁻³: 7.2


Entry B
First-principles (PBE-GGA) data for ScCu2Ni2 after structural relaxation, as listed in the Alexandria database.

Cell lengths 3.549, 3.549, 6.118 Å; angles 73.14, 73.14, 90.00 degrees
Element x y z (fractional)
1 Cu 0.750 0.250 0.500
2 Cu 0.250 0.750 0.500
3 Ni 0.602 0.602 0.796
4 Ni 0.398 0.398 0.204
5 Sc 0.000 0.000 0.000

Output
Total moment, μB per formula unit: 0.0
Mass density, g cm⁻³: 6.8


Stability verdict: entry B, ahead by 47 meV per atom


Entry A
First-principles (PBE-GGA) data for TbScCuNi after structural relaxation, as listed in the Alexandria database.

Cell lengths 3.537, 4.310, 5.333 Å; angles 90.00, 109.36, 90.00 degrees
Element x y z (fractional)
1 Ni 0.432 0.000 0.864
2 Tb 0.858 0.500 0.715
3 Cu 0.576 0.500 0.153
4 Sc 0.134 0.000 0.268

Output
Total moment, μB per formula unit: 0.0
Mass density, g cm⁻³: 7.1


Entry B
First-principles (PBE-GGA) data for TbScCuNi after structural relaxation, as listed in the Alexandria database.

Cell lengths 4.710, 4.710, 4.710 Å; angles 60.00, 60.00, 60.00 degrees
Element x y z (fractional)
1 Sc 0.500 0.500 0.500
2 Cu 0.250 0.250 0.250
3 Tb 0.000 0.000 0.000
4 Ni 0.750 0.750 0.750

Output
Total moment, μB per formula unit: 0.0
Mass density, g cm⁻³: 7.3


Stability verdict: entry A, ahead by 27 meV per atom


Entry A
First-principles (PBE-GGA) data for CuNiSe3 after structural relaxation, as listed in the Alexandria database.

Cell lengths 4.695, 4.695, 4.695 Å; angles 90.00, 90.00, 90.00 degrees
Element x y z (fractional)
1 Ni 0.000 0.000 0.000
2 Cu 0.500 0.500 0.500
3 Se 0.500 0.000 0.000
4 Se 0.000 0.500 0.000
5 Se 0.000 0.000 0.500

Output
Total moment, μB per formula unit: 0.0
Mass density, g cm⁻³: 5.8


Entry B
First-principles (PBE-GGA) data for CuNiSe3 after structural relaxation, as listed in the Alexandria database.

Cell lengths 6.284, 6.386, 5.614 Å; angles 81.57, 72.67, 60.53 degrees
Element x y z (fractional)
1 Cu 0.881 0.000 0.323
2 Cu 0.119 0.000 0.677
3 Se 0.057 0.387 0.742
4 Se 0.943 0.613 0.258
5 Se 0.715 0.000 0.779
6 Se 0.285 0.000 0.221
7 Se 0.444 0.613 0.742
8 Se 0.556 0.387 0.258
9 Ni 0.333 0.334 0.000
10 Ni 0.667 0.666 0.000

Output
Total moment, μB per formula unit: 0.0
Mass density, g cm⁻³: 6.4


Entry C
First-principles (PBE-GGA) data for CuNiSe3 after structural relaxation, as listed in the Alexandria database.

Cell lengths 4.752, 4.752, 4.752 Å; angles 90.00, 90.00, 90.00 degrees
Each line ends with the local moment (μB).
Element x y z (fractional)
1 Se 0.000 0.000 0.500  0.15
2 Se 0.000 0.500 0.000  0.20
3 Se 0.500 0.000 0.000  0.12
4 Ni 0.500 0.500 0.500  1.00
5 Cu 0.000 0.000 0.000  0.03

Output
Total moment, μB per formula unit: 1.7
Mass density, g cm⁻³: 5.6


Entry D
First-principles (PBE-GGA) data for CuNiSe3 after structural relaxation, as listed in the Alexandria database.

Cell lengths 3.689, 5.927, 9.701 Å; angles 69.24, 89.46, 71.22 degrees
Element x y z (fractional)
1 Se 0.890 0.174 0.209
2 Se 0.240 0.460 0.424
3 Se 0.499 0.925 0.600
4 Se 0.570 0.783 0.115
5 Se 0.850 0.211 0.815
6 Se 0.170 0.602 0.909
7 Cu 0.709 0.512 0.568
8 Cu 0.029 0.873 0.456
9 Ni 0.511 0.904 0.852
10 Ni 0.229 0.481 0.172

Output
Total moment, μB per formula unit: 0.0
Mass density, g cm⁻³: 6.4


Stability verdict: entry D, ahead by 9 meV per atom


Entry A
First-principles (PBE-GGA) data for CuNiSe after structural relaxation, as listed in the Alexandria database.

Cell lengths 3.938, 3.938, 3.320 Å; angles 90.00, 90.00, 120.00 degrees
Element x y z (fractional)
1 Cu 0.000 0.000 0.001
2 Ni 0.667 0.333 0.500
3 Se 0.333 0.667 0.499

Output
Total moment, μB per formula unit: 0.0
Mass density, g cm⁻³: 7.5


Entry B
First-principles (PBE-GGA) data for CuNiSe after structural relaxation, as listed in the Alexandria database.

Cell lengths 3.563, 4.048, 6.315 Å; angles 90.00, 90.00, 90.00 degrees
Element x y z (fractional)
1 Ni 0.000 0.000 0.468
2 Ni 0.500 0.500 0.532
3 Se 0.500 0.000 0.729
4 Se 0.000 0.500 0.271
5 Cu 0.500 0.500 0.961
6 Cu 0.000 0.000 0.039

Output
Total moment, μB per formula unit: 0.0
Mass density, g cm⁻³: 7.3


Entry C
First-principles (PBE-GGA) data for CuNiSe after structural relaxation, as listed in the Alexandria database.

Cell lengths 3.908, 3.908, 5.639 Å; angles 90.00, 90.00, 90.00 degrees
Element x y z (fractional)
1 Cu 0.500 0.000 0.201
2 Cu 0.000 0.500 0.799
3 Ni 0.000 0.000 0.500
4 Ni 0.500 0.500 0.500
5 Se 0.000 0.500 0.234
6 Se 0.500 0.000 0.766

Output
Total moment, μB per formula unit: 0.0
Mass density, g cm⁻³: 7.8


Stability verdict: entry C, ahead by 95 meV per atom